No. 1
The following is a GGA-PBE calculation of a relaxed Y2B2Au crystal, from Alexandria.

The structure belongs to space group P4/mbm (No. 127); the cell edges are 6.906, 6.906 and 3.629 Å and the angles 90.00°, 90.00° and 90.00°. Symmetry generates all atoms from Y at (0.184, 0.316, 0.000), B at (0.083, 0.583, 0.500) and Au at (0.000, 0.000, 0.500).

As for the formation energy: -0.40 eV per atom. The theoretical density comes out at 7.6 Mg/m³.

=====

No. 2
The following is a GGA-PBE calculation of a relaxed YB3Au crystal, from Alexandria.

The structure belongs to space group Pm-3m (No. 221); the cell edges are 4.623, 4.623 and 4.623 Å and the angles 90.00°, 90.00° and 90.00°. Symmetry generates all atoms from Y at (0.000, 0.000, 0.000), B at (0.000, 0.000, 0.500) and Au at (0.500, 0.500, 0.500).

Its polymorph energy (0 for the lowest one) is 1192 meV/atom. As for the formation energy: 2.34 eV per atom. The theoretical density comes out at 5.3 Mg/m³.

=====

No. 3
The following is a GGA-PBE calculation of a relaxed YB3Au crystal, from Alexandria.

The structure belongs to space group Pm-3m (No. 221); the cell edges are 4.241, 4.241 and 4.241 Å and the angles 90.00°, 90.00° and 90.00°. Symmetry generates all atoms from Y at (0.000, 0.000, 0.000), B at (0.000, 0.500, 0.500) and Au at (0.500, 0.500, 0.500).

Its polymorph energy (0 for the lowest one) is 0 meV/atom. As for the formation energy: 1.15 eV per atom. The theoretical density comes out at 6.9 Mg/m³.

=====

No. 4
The following is a GGA-PBE calculation of a relaxed YB2Au crystal, from Alexandria.

The structure belongs to space group I4_1/amd (No. 141, origin choice 2); the cell edges are 4.168, 4.168 and 14.876 Å and the angles 90.00°, 90.00° and 90.00°. Symmetry generates all atoms from Y at (0.000, 0.250, 0.375), B at (0.000, 0.000, 0.000) and Au at (0.000, 0.250, 0.875).

Its polymorph energy (0 for the lowest one) is 0 meV/atom. As for the formation energy: 0.15 eV per atom. The theoretical density comes out at 7.9 Mg/m³.

=====

What did the fourth record say?
The following is a GGA-PBE calculation of a relaxed YB2Au crystal, from Alexandria.

The structure belongs to space group I4_1/amd (No. 141, origin choice 2); the cell edges are 4.168, 4.168 and 14.876 Å and the angles 90.00°, 90.00° and 90.00°. Symmetry generates all atoms from Y at (0.000, 0.250, 0.375), B at (0.000, 0.000, 0.000) and Au at (0.000, 0.250, 0.875).

Its polymorph energy (0 for the lowest one) is 0 meV/atom. As for the formation energy: 0.15 eV per atom. The theoretical density comes out at 7.9 Mg/m³.